Entry from Alexandria via LeMat-Bulk: crystalline Cs12As3H5 at its relaxed geometry (PBE-GGA).

Lattice parameters (Å, degrees): 19.5445 19.5445 19.5445 90.00 90.00 90.00
Last column: nearest neighbours and their distance in Å.
Space group Ia-3d (No. 230)
Inequivalent atoms, fractional coordinates:
Cs1 0.0246 0.0588 0.6527 [96 per cell]  2 H 2.97-3.23
As1 0.0000 0.2500 0.1250 [24 per cell]  8 Cs 3.67-3.81
H1 0.0000 0.0000 0.0000 [16 per cell]  6 Cs 3.23
H2 0.0000 0.2500 0.3750 [24 per cell]  4 Cs 2.97

Computed properties:
**Calculated total energy**: -2.23 eV/atom
**Crystal system**: cubic
**Calculated volume**: 46.66 Å³/atom